Compound: Pm3Nd2SmDy6
Source: Alexandria
Functional: PBE-GGA
Structure: optimized geometry

Cell: 6.2458 6.2458 11.8536 Å, 95.02 95.02 119.99°
Fractional positions:
Pm 0.0000 0.0000 0.0000
Pm 0.3332 0.6668 0.0000
Pm 0.6668 0.3332 0.0000
Nd 0.1666 0.8334 0.5000
Nd 0.8334 0.1666 0.5000
Sm 0.5000 0.5000 0.5000
Dy 0.0833 0.4165 0.2497
Dy 0.2504 0.2504 0.7503
Dy 0.4165 0.0833 0.2497
Dy 0.5835 0.9167 0.7503
Dy 0.7496 0.7496 0.2497
Dy 0.9167 0.5835 0.7503

Results
ΔE_f: 0.0121 eV/atom
total magnetization: 0.000 μB/cell
crystal system: monoclinic